Density functional theory data (PBE) for LiAs5Au3 after structural relaxation.

Cell: 5.3116 5.3116 8.9970 Å, 90.00 90.00 120.00°
Last column: nearest neighbours and their distance in Å.
Fractional positions:
1 Li 0.0000 0.0000 0.0000  12 As 3.30
2 As 0.0000 0.0000 0.5000  6 Au 2.66
3 As 0.3333 0.6667 0.1366  1 As 2.46
4 As 0.3333 0.6667 0.8634  1 As 2.46
5 As 0.6667 0.3333 0.1366  1 As 2.46
6 As 0.6667 0.3333 0.8634  1 As 2.46
7 Au 0.0000 0.5000 0.5000  4 Au 2.66, 2 As 2.66
8 Au 0.5000 0.0000 0.5000  4 Au 2.66, 2 As 2.66
9 Au 0.5000 0.5000 0.5000  4 Au 2.66, 2 As 2.66

Summary:
The value obtained for the uncorrected energy is -3.59 eV per atom. The crystal system is hexagonal.